(1)
Compound: USCl
Source: Alexandria via LeMat-Bulk
Functional: PBE-GGA
Structure: optimized geometry

a = 4.698 Å, b = 4.698 Å, c = 4.698 Å
α = 60.00°, β = 60.00°, γ = 60.00°
Each line ends with the local moment (μB).
Sites, in units of the cell vectors:
S  0.500  0.500  0.500  -0.06
U  0.250  0.250  0.250  2.84
Cl  0.000  0.000  0.000  -0.04

(2)
Compound: InCu2Pb
Source: Alexandria via LeMat-Bulk
Functional: PBE-GGA
Structure: optimized geometry

a = 8.612 Å, b = 8.612 Å, c = 8.612 Å
α = 22.27°, β = 22.27°, γ = 22.27°
Sites, in units of the cell vectors:
Pb  0.750  0.750  0.750
Cu  0.505  0.505  0.505
Cu  0.995  0.995  0.995
In  0.250  0.250  0.250

Number 1: uncorrected energy -21.3 eV/cell, spin magnetization 3.0 μB per formula unit. Number 2: uncorrected energy -13.7 eV/cell, spin magnetization 0.0 μB per formula unit.